[1]
A plane-wave DFT calculation with GGA-PBE was carried out for crystalline Pm4InIr at its relaxed geometry.

The structure belongs to space group F-43m (No. 216); the cell edges are 14.023, 14.023 and 14.023 Å and the angles 90.00°, 90.00° and 90.00°. The distinct sites, in fractional coordinates, are Pm at (0.000, 0.000, 0.190), Pm at (0.058, 0.250, 0.250), Pm at (0.099, 0.099, 0.599), In at (0.168, 0.168, 0.832) and Ir at (0.109, 0.109, 0.391).

The formation energy from the elements is -0.51 eV per atom. The uncorrected energy comes out at -33.68 eV/f.u. For the polymorph energy (0 for the lowest one), the calculation gives 0.000 eV per atom.



[2]
A plane-wave DFT calculation with GGA-PBE was carried out for crystalline CdNi2PtN at its relaxed geometry.

The structure belongs to space group P4/mmm (No. 123); the cell edges are 3.878, 3.878 and 4.263 Å and the angles 90.00°, 90.00° and 90.00°. The distinct sites, in fractional coordinates, are Cd at (0.000, 0.000, 0.000), Ni at (0.000, 0.500, 0.500), Pt at (0.500, 0.500, 0.000) and N at (0.500, 0.500, 0.500).

The value obtained for the uncorrected formation energy is 0.062 eV per atom. The uncorrected energy comes out at -26.54 eV/f.u.



[3]
A plane-wave DFT calculation with GGA-PBE was carried out for crystalline KPd4Pb at its relaxed geometry.

The structure belongs to space group F-43m (No. 216); the cell edges are 7.793, 7.793 and 7.793 Å and the angles 90.00°, 90.00° and 90.00°. The distinct sites, in fractional coordinates, are K at (0.000, 0.000, 0.000), Pd at (0.124, 0.124, 0.376) and Pb at (0.250, 0.250, 0.750).

The formation energy from the elements is -0.11 eV per atom. The uncorrected energy comes out at -26.21 eV/f.u. For the polymorph energy (0 for the lowest one), the calculation gives 0.000 eV per atom.



[4]
A plane-wave DFT calculation with GGA-PBE was carried out for crystalline Li3In at its relaxed geometry.

The structure belongs to space group P4/mmm (No. 123); the cell edges are 3.296, 3.296 and 6.965 Å and the angles 90.00°, 90.00° and 90.00°. The distinct sites, in fractional coordinates, are Li at (0.000, 0.000, 0.000), Li at (0.500, 0.500, 0.251) and In at (0.000, 0.000, 0.500).

The formation energy from the elements is -0.19 eV per atom. The uncorrected energy comes out at -9.24 eV/f.u. For the polymorph energy (0 for the lowest one), the calculation gives 0.048 eV per atom.



- What is the formula in the third record?
  KPd4Pb



- Which of these has the highest uncorrected energy?
  Li3In



- uncorrected energy of number 2 (CdNi2PtN)?
  -26.54 eV/f.u.